--- w ---
The following is a PBE calculation of crystalline Sb2PS at its relaxed geometry, from Alexandria via LeMat-Bulk.

Cell lengths 4.896, 4.896, 4.896 Å; angles 60.00, 60.00, 60.00 degrees
Sites, in units of the cell vectors:
1 Sb 0.750 0.750 0.750
2 Sb 0.250 0.250 0.250
3 S 0.500 0.500 0.500
4 P 0.000 0.000 0.000

Space-group type ... Fm-3m, No. 225

---

--- x ---
The following is a PBE calculation of crystalline Sb2PS at its relaxed geometry, from Alexandria via LeMat-Bulk.

Cell lengths 7.312, 7.312, 6.321 Å; angles 54.66, 54.66, 90.00 degrees
Sites, in units of the cell vectors:
1 P 0.250 0.750 0.500
2 P 0.500 0.500 0.000
3 Sb 0.136 0.625 0.250
4 Sb 0.875 0.864 0.750
5 Sb 0.614 0.125 0.250
6 Sb 0.375 0.386 0.750
7 S 0.750 0.250 0.500
8 S 0.000 0.000 0.000

Space-group type ... I-42d, No. 122

---

Result of the stability comparison: x is the most stable of them.

---

--- w ---
The following is a PBE calculation of crystalline SbP2S6 at its relaxed geometry, from Alexandria via LeMat-Bulk.

Cell lengths 6.962, 8.292, 8.292 Å; angles 84.28, 74.66, 74.66 degrees
Sites, in units of the cell vectors:
1 S 0.398 0.401 0.866
2 S 0.898 0.866 0.401
3 S 0.102 0.134 0.599
4 S 0.023 0.416 0.292
5 S 0.827 0.200 0.032
6 S 0.327 0.032 0.200
7 S 0.673 0.968 0.800
8 S 0.173 0.800 0.968
9 S 0.523 0.292 0.416
10 S 0.602 0.599 0.134
11 S 0.477 0.708 0.584
12 S 0.977 0.584 0.708
13 P 0.231 0.223 0.369
14 P 0.731 0.369 0.223
15 P 0.269 0.631 0.777
16 P 0.769 0.777 0.631
17 Sb 0.250 0.131 0.869
18 Sb 0.750 0.869 0.131

Space-group type ... C2/c, No. 15

---

--- x ---
The following is a PBE calculation of crystalline SbP2S6 at its relaxed geometry, from Alexandria via LeMat-Bulk.

Cell lengths 7.447, 6.507, 6.507 Å; angles 120.00, 90.00, 90.00 degrees
Sites, in units of the cell vectors:
1 P 0.075 0.667 0.333
2 P 0.925 0.333 0.667
3 S 0.776 0.173 0.827
4 S 0.224 0.345 0.173
5 S 0.776 0.655 0.827
6 S 0.224 0.827 0.655
7 S 0.224 0.827 0.173
8 S 0.776 0.173 0.345
9 Sb 0.000 0.000 0.000

Space-group type ... P-3m1, No. 164

---

Result of the stability comparison: w is the most stable of them.

---

--- w ---
The following is a PBE calculation of crystalline SbP2S at its relaxed geometry, from Alexandria via LeMat-Bulk.

Cell lengths 6.653, 6.653, 6.203 Å; angles 57.57, 57.57, 90.00 degrees
Sites, in units of the cell vectors:
1 S 0.250 0.750 0.500
2 S 0.500 0.500 0.000
3 P 0.152 0.625 0.250
4 P 0.875 0.848 0.750
5 P 0.598 0.125 0.250
6 P 0.375 0.402 0.750
7 Sb 0.000 0.000 0.000
8 Sb 0.750 0.250 0.500

Space-group type ... I-42d, No. 122

---

--- x ---
The following is a PBE calculation of crystalline SbP2S at its relaxed geometry, from Alexandria via LeMat-Bulk.

Cell lengths 4.662, 4.662, 4.662 Å; angles 60.00, 60.00, 60.00 degrees
Sites, in units of the cell vectors:
1 Sb 0.500 0.500 0.500
2 P 0.250 0.250 0.250
3 P 0.750 0.750 0.750
4 S 0.000 0.000 0.000

Space-group type ... Fm-3m, No. 225

---

Result of the stability comparison: w is the most stable of them.

---

--- w ---
The following is a PBE calculation of crystalline ScSbPS2 at its relaxed geometry, from Alexandria via LeMat-Bulk.

Cell lengths 4.903, 4.903, 5.048 Å; angles 90.00, 90.00, 90.00 degrees
Sites, in units of the cell vectors:
1 S 0.500 0.000 0.000
2 S 0.000 0.500 0.000
3 Sc 0.500 0.500 0.500
4 P 0.000 0.000 0.500
5 Sb 0.000 0.000 0.000

Space-group type ... P4/mmm, No. 123

---

--- x ---
The following is a PBE calculation of crystalline ScSbPS2 at its relaxed geometry, from Alexandria via LeMat-Bulk.

Cell lengths 4.831, 4.831, 5.093 Å; angles 90.00, 90.00, 90.00 degrees
Sites, in units of the cell vectors:
1 Sc 0.000 0.000 0.000
2 P 0.000 0.000 0.500
3 Sb 0.500 0.500 0.500
4 S 0.500 0.000 0.000
5 S 0.000 0.500 0.000

Space-group type ... P4/mmm, No. 123

---

Result of the stability comparison: x is the most stable of them.

---

--- w ---
The following is a PBE calculation of crystalline SrSbPS2 at its relaxed geometry, from Alexandria via LeMat-Bulk.

Cell lengths 5.096, 5.096, 5.077 Å; angles 90.00, 90.00, 90.00 degrees
Sites, in units of the cell vectors:
1 Sb 0.000 0.000 0.000
2 P 0.000 0.000 0.500
3 S 0.000 0.500 0.000
4 S 0.500 0.000 0.000
5 Sr 0.500 0.500 0.500

Space-group type ... P4/mmm, No. 123

---

--- x ---
The following is a PBE calculation of crystalline SrSbPS2 at its relaxed geometry, from Alexandria via LeMat-Bulk.

Cell lengths 5.451, 5.451, 5.668 Å; angles 90.00, 90.00, 90.00 degrees
Site moments in Bohr magnetons follow the coordinates.
Sites, in units of the cell vectors:
1 S 0.500 0.000 0.000  0.42
2 S 0.000 0.500 0.000  0.42
3 Sb 0.500 0.500 0.500  -0.43
4 Sr 0.000 0.000 0.000  0.02
5 P 0.000 0.000 0.500  0.64

Space-group type ... P4/mmm, No. 123

---

Result of the stability comparison: w is the most stable of them.

---

--- w ---
The following is a PBE calculation of crystalline TcSbPS2 at its relaxed geometry, from Alexandria via LeMat-Bulk.

Cell lengths 4.486, 4.486, 5.128 Å; angles 90.00, 90.00, 90.00 degrees
Sites, in units of the cell vectors:
1 Tc 0.000 0.000 0.000
2 P 0.000 0.000 0.500
3 S 0.000 0.500 0.000
4 S 0.500 0.000 0.000
5 Sb 0.500 0.500 0.500

Space-group type ... P4/mmm, No. 123

---

--- x ---
The following is a PBE calculation of crystalline TcSbPS2 at its relaxed geometry, from Alexandria via LeMat-Bulk.

Cell lengths 4.931, 4.931, 5.097 Å; angles 90.00, 90.00, 90.00 degrees
Site moments in Bohr magnetons follow the coordinates.
Sites, in units of the cell vectors:
1 Tc 0.500 0.500 0.500  3.86
2 Sb 0.000 0.000 0.000  0.00
3 S 0.000 0.500 0.000  0.00
4 S 0.500 0.000 0.000  0.00
5 P 0.000 0.000 0.500  -0.18

Space-group type ... P4/mmm, No. 123

---

Result of the stability comparison: w is the most stable of them.

---

--- w ---
The following is a PBE calculation of crystalline TiSbP2S at its relaxed geometry, from Alexandria via LeMat-Bulk.

Cell lengths 4.835, 4.835, 4.545 Å; angles 90.00, 90.00, 90.00 degrees
Sites, in units of the cell vectors:
1 Sb 0.500 0.500 0.500
2 Ti 0.000 0.000 0.000
3 P 0.000 0.500 0.000
4 P 0.500 0.000 0.000
5 S 0.000 0.000 0.500

Space-group type ... P4/mmm, No. 123

---

--- x ---
The following is a PBE calculation of crystalline TiSbP2S at its relaxed geometry, from Alexandria via LeMat-Bulk.

Cell lengths 4.950, 4.950, 4.862 Å; angles 90.00, 90.00, 90.00 degrees
Site moments in Bohr magnetons follow the coordinates.
Sites, in units of the cell vectors:
1 Ti 0.500 0.500 0.500  1.45
2 S 0.000 0.000 0.500  -0.08
3 Sb 0.000 0.000 0.000  -0.01
4 P 0.500 0.000 0.000  -0.17
5 P 0.000 0.500 0.000  -0.17

Space-group type ... P4/mmm, No. 123

---

Result of the stability comparison: w is the most stable of them.

---

--- w ---
The following is a PBE calculation of crystalline VSbPS2 at its relaxed geometry, from Alexandria via LeMat-Bulk.

Cell lengths 4.903, 4.903, 5.038 Å; angles 90.00, 90.00, 90.00 degrees
Site moments in Bohr magnetons follow the coordinates.
Sites, in units of the cell vectors:
1 S 0.000 0.500 0.000  0.00
2 S 0.500 0.000 0.000  0.00
3 V 0.500 0.500 0.500  0.15
4 P 0.000 0.000 0.500  -0.01
5 Sb 0.000 0.000 0.000  -0.01

Space-group type ... P4/mmm, No. 123

---

--- x ---
The following is a PBE calculation of crystalline VSbPS2 at its relaxed geometry, from Alexandria via LeMat-Bulk.

Cell lengths 4.455, 4.455, 5.006 Å; angles 90.00, 90.00, 90.00 degrees
Site moments in Bohr magnetons follow the coordinates.
Sites, in units of the cell vectors:
1 V 0.000 0.000 0.000  0.65
2 S 0.500 0.000 0.000  -0.07
3 S 0.000 0.500 0.000  -0.07
4 P 0.000 0.000 0.500  -0.08
5 Sb 0.500 0.500 0.500  0.13

Space-group type ... P4/mmm, No. 123

---

Result of the stability comparison: x is the most stable of them.

---

--- w ---
The following is a PBE calculation of crystalline VSbP2S at its relaxed geometry, from Alexandria via LeMat-Bulk.

Cell lengths 4.971, 4.971, 4.885 Å; angles 90.00, 90.00, 90.00 degrees
Site moments in Bohr magnetons follow the coordinates.
Sites, in units of the cell vectors:
1 P 0.500 0.000 0.000  -0.09
2 P 0.000 0.500 0.000  -0.09
3 V 0.500 0.500 0.500  0.24
4 S 0.000 0.000 0.500  -0.05
5 Sb 0.000 0.000 0.000  -0.02

Space-group type ... P4/mmm, No. 123

---

--- x ---
The following is a PBE calculation of crystalline VSbP2S at its relaxed geometry, from Alexandria via LeMat-Bulk.

Cell lengths 4.770, 4.770, 4.323 Å; angles 90.00, 90.00, 90.00 degrees
Sites, in units of the cell vectors:
1 V 0.000 0.000 0.000
2 P 0.500 0.000 0.000
3 P 0.000 0.500 0.000
4 Sb 0.500 0.500 0.500
5 S 0.000 0.000 0.500

Space-group type ... P4/mmm, No. 123

---

Result of the stability comparison: x is the most stable of them.

---

--- w ---
The following is a PBE calculation of crystalline SbPWS2 at its relaxed geometry, from Alexandria via LeMat-Bulk.

Cell lengths 4.862, 4.862, 5.040 Å; angles 90.00, 90.00, 90.00 degrees
Site moments in Bohr magnetons follow the coordinates.
Sites, in units of the cell vectors:
1 Sb 0.000 0.000 0.000  0.00
2 S 0.000 0.500 0.000  -0.14
3 S 0.500 0.000 0.000  -0.14
4 W 0.500 0.500 0.500  2.94
5 P 0.000 0.000 0.500  -0.28

Space-group type ... P4/mmm, No. 123

---

--- x ---
The following is a PBE calculation of crystalline SbPWS2 at its relaxed geometry, from Alexandria via LeMat-Bulk.

Cell lengths 4.594, 4.594, 5.031 Å; angles 90.00, 90.00, 90.00 degrees
Site moments in Bohr magnetons follow the coordinates.
Sites, in units of the cell vectors:
1 S 0.000 0.500 0.000  0.00
2 S 0.500 0.000 0.000  0.00
3 W 0.000 0.000 0.000  0.05
4 P 0.000 0.000 0.500  -0.01
5 Sb 0.500 0.500 0.500  0.07

Space-group type ... P4/mmm, No. 123

---

Result of the stability comparison: x is the most stable of them.

---

--- w ---
The following is a PBE calculation of crystalline Sc4P3S at its relaxed geometry, from Alexandria via LeMat-Bulk.

Cell lengths 3.742, 6.476, 6.476 Å; angles 109.34, 90.00, 90.00 degrees
Sites, in units of the cell vectors:
1 P 0.000 0.500 0.000
2 P 0.000 0.000 0.500
3 P 0.500 0.500 0.500
4 Sc 0.500 0.748 0.252
5 Sc 0.000 0.255 0.255
6 Sc 0.500 0.252 0.748
7 Sc 0.000 0.745 0.745
8 S 0.500 0.000 0.000

Space-group type ... Cmmm, No. 65

---

--- x ---
The following is a PBE calculation of crystalline Sc4P3S at its relaxed geometry, from Alexandria via LeMat-Bulk.

Cell lengths 5.288, 5.288, 5.288 Å; angles 90.00, 90.00, 90.00 degrees
Sites, in units of the cell vectors:
1 P 0.500 0.500 0.000
2 P 0.000 0.500 0.500
3 P 0.500 0.000 0.500
4 Sc 0.000 0.500 0.000
5 Sc 0.000 0.000 0.500
6 Sc 0.500 0.500 0.500
7 Sc 0.500 0.000 0.000
8 S 0.000 0.000 0.000

Space-group type ... Pm-3m, No. 221

---

Result of the stability comparison: w is the most stable of them.

---

--- w ---
The following is a PBE calculation of crystalline Sc4PS2 at its relaxed geometry, from Alexandria via LeMat-Bulk.

Cell lengths 3.642, 6.235, 12.090 Å; angles 90.00, 90.00, 106.98 degrees
Sites, in units of the cell vectors:
1 Sc 0.223 0.447 0.624
2 Sc 0.049 0.099 0.250
3 Sc 0.223 0.447 0.876
4 Sc 0.777 0.553 0.376
5 Sc 0.951 0.901 0.750
6 Sc 0.500 0.000 0.500
7 Sc 0.500 0.000 0.000
8 Sc 0.777 0.553 0.124
9 S 0.863 0.726 0.563
10 S 0.137 0.274 0.063
11 S 0.137 0.274 0.437
12 S 0.863 0.726 0.937
13 P 0.607 0.213 0.750
14 P 0.393 0.787 0.250

Space-group type ... Cmcm, No. 63

---

--- x ---
The following is a PBE calculation of crystalline Sc4PS2 at its relaxed geometry, from Alexandria via LeMat-Bulk.

Cell lengths 4.886, 4.886, 7.322 Å; angles 70.51, 70.51, 90.00 degrees
Sites, in units of the cell vectors:
1 Sc 0.801 0.801 0.398
2 Sc 0.199 0.199 0.602
3 Sc 0.000 0.500 0.000
4 Sc 0.500 0.000 0.000
5 S 0.387 0.387 0.226
6 S 0.613 0.613 0.774
7 P 0.000 0.000 0.000

Space-group type ... I4/mmm, No. 139

---

Result of the stability comparison: w is the most stable of them.

---

--- w ---
The following is a PBE calculation of crystalline ScPSeS2 at its relaxed geometry, from Alexandria via LeMat-Bulk.

Cell lengths 4.724, 4.724, 4.720 Å; angles 90.00, 90.00, 90.00 degrees
Sites, in units of the cell vectors:
1 Sc 0.500 0.500 0.500
2 S 0.000 0.500 0.000
3 S 0.500 0.000 0.000
4 P 0.000 0.000 0.500
5 Se 0.000 0.000 0.000

Space-group type ... P4/mmm, No. 123

---

--- x ---
The following is a PBE calculation of crystalline ScPSeS2 at its relaxed geometry, from Alexandria via LeMat-Bulk.

Cell lengths 4.778, 4.778, 5.313 Å; angles 90.00, 90.00, 90.00 degrees
Site moments in Bohr magnetons follow the coordinates.
Sites, in units of the cell vectors:
1 P 0.000 0.000 0.500  -0.10
2 S 0.500 0.000 0.000  0.08
3 S 0.000 0.500 0.000  0.08
4 Sc 0.000 0.000 0.000  0.02
5 Se 0.500 0.500 0.500  0.51

Space-group type ... P4/mmm, No. 123

---

Result of the stability comparison: w is the most stable of them.